Na2FeIrO6: optimized geometry, GGA+U.

calculated volume: 11.4 A^3/atom
magnetization: 0.3919 μB/atom
calculated total energy: -5.81 eV per atom

Cell lengths 5.439, 5.439, 5.439 Å; angles 60.10, 60.10, 60.10 degrees
Atoms (fractional coordinates):
Na 0.249 0.249 0.249
Na 0.751 0.751 0.751
Fe 0.500 0.500 0.500
Ir 0.000 0.000 0.000
O 0.174 0.313 0.759
O 0.241 0.826 0.687
O 0.313 0.759 0.174
O 0.687 0.241 0.826
O 0.759 0.174 0.313
O 0.826 0.687 0.241